# 1
A plane-wave DFT calculation with PBE-GGA was carried out for a relaxed structure of La4SmGa.

Cell: 5.337 5.337 7.724 Å, 90.00 90.00 90.00°
Space group P4/mmm (No. 123)
One atom of each set of equivalent atoms:
La 0.000 0.500 0.228
Sm 0.000 0.000 0.500
Ga 0.500 0.500 0.000


# 2
A plane-wave DFT calculation with PBE-GGA was carried out for a relaxed structure of Dy6Tm12Zr.

Output
Excess energy over the best structure of this formula in the dataset: 72 meV/atom

Cell: 12.9514 12.9514 12.3302 Å, 90.00 90.00 120.00°
Space group R-3m (No. 166, hexagonal axes)
One atom of each set of equivalent atoms:
Dy 0.0451 0.5226 0.1201
Tm 0.0000 0.2554 0.0000
Tm 0.0897 0.1794 0.7601
Zr 0.0000 0.0000 0.5000


How do the records compare in volume? In the order shown, they have 36.67, 31.42 Å³ per atom.
How do the records compare in energy of formation from the pure elements? In the order shown, they have 0.180, 0.253 eV per atom.